A | MoP2IrO | GGA+U | optimized geometry

Lattice parameters (Å, degrees): 4.842 4.842 3.674 90.00 90.00 90.00
Element x y z (fractional)
Mo1 0.000 0.000 0.000
P1 0.000 0.500 0.500
P2 0.500 0.000 0.500
Ir1 0.500 0.500 0.500
O1 0.500 0.500 0.000

***

B | MoP2IrO | GGA+U | optimized geometry

Lattice parameters (Å, degrees): 4.830 4.830 3.674 90.00 90.00 90.00
Element x y z (fractional)
Mo1 0.000 0.000 0.000
P1 0.000 0.500 0.000
P2 0.500 0.000 0.000
Ir1 0.500 0.500 0.500
O1 0.000 0.000 0.500

***

Which structure is the least stable? The one labeled B.